1.
CoNi3Pt (SCAN, PBEsol geometry); DOS(E_F) = 5.30 states/eV/cell; uncorrected energy = -25.809 eV/atom; ΔH_f (0 K) = 7.0 eV/f.u.
1.0
4.478 0.000 0.000
0.000 4.478 0.000
0.000 0.000 4.478
Ni Pt Co
3 1 1
Cartesian
0.000 2.239 0.000
0.000 0.000 2.239
2.239 0.000 0.000
0.000 0.000 0.000
2.239 2.239 2.239

2.
MnBP2 (SCAN, PBEsol geometry); DOS(E_F) = 2.51 states/eV/cell; uncorrected energy = -11.841 eV/atom; ΔH_f (0 K) = -0.9 eV/f.u.
1.0
-1.260 4.760 1.460
-1.094 -4.162 3.594
3.072 -0.442 4.092
P Mn B
4 2 2
Cartesian
1.644 -2.665 6.535
0.384 2.871 4.520
-0.201 0.666 2.171
-0.390 -0.561 5.067
0.000 0.000 0.000
0.812 1.158 5.961
0.906 2.159 2.776
-0.094 -1.002 3.185

3.
KInIr (SCAN, PBEsol geometry); DOS(E_F) = 2.69 states/eV/cell; uncorrected energy = -36.859 eV/atom; ΔH_f (0 K) = 2.2 eV/f.u.
1.0
-3.821 1.093 -2.554
-3.309 -3.270 -0.816
-4.221 0.338 2.092
K In Ir
1 1 1
Cartesian
-5.676 -0.920 -0.639
-2.838 -0.460 -0.319
0.000 0.000 0.000